# PBE Si2RuPb, optimized geometry
data_Si2RuPb
_chemical_formula_sum 'Si4 Ru2 Pb2'
_cell_length_a 8.475
_cell_length_b 3.070
_cell_length_c 6.480
_cell_angle_alpha 90.00
_cell_angle_beta 108.12
_cell_angle_gamma 90.00
_space_group_name_H-M_alt 'C 1 m 1'
_space_group_IT_number 8
_space_group_name_Hall 'C -2y'
loop_
_atom_site_label
_atom_site_fract_x
_atom_site_fract_y
_atom_site_fract_z
_atom_site_occupancy
Si1 0.000 0.000 0.000 1
Si2 0.186 0.000 0.700 1
Ru1 0.214 0.500 0.990 1
Pb1 0.373 0.000 0.402 1
# * calculated volume: 160.2 Å³/cell
# * raw total energy: -5.9235 eV per atom



# PBE TbHoTlBi, optimized geometry
data_TbHoTlBi
_chemical_formula_sum 'Tb4 Ho4 Tl4 Bi4'
_cell_length_a 7.697
_cell_length_b 7.697
_cell_length_c 7.697
_cell_angle_alpha 90.00
_cell_angle_beta 90.00
_cell_angle_gamma 90.00
_space_group_name_H-M_alt 'F -4 3 m'
_space_group_IT_number 216
_space_group_name_Hall 'F -4 2 3'
loop_
_atom_site_label
_atom_site_fract_x
_atom_site_fract_y
_atom_site_fract_z
_atom_site_occupancy
Tb1 0.000 0.000 0.000 1
Ho1 0.000 0.000 0.500 1
Tl1 0.250 0.250 0.750 1
Bi1 0.250 0.250 0.250 1
# * energy relative to the elements: -0.403 eV per atom
# * calculated volume: 456.0 Å³/cell
# * raw total energy: -4.2668 eV per atom



# PBE SmHoV4, optimized geometry
data_SmHoV4
_chemical_formula_sum 'Sm4 Ho4 V16'
_cell_length_a 7.626
_cell_length_b 7.626
_cell_length_c 7.626
_cell_angle_alpha 90.00
_cell_angle_beta 90.00
_cell_angle_gamma 90.00
_space_group_name_H-M_alt 'F -4 3 m'
_space_group_IT_number 216
_space_group_name_Hall 'F -4 2 3'
loop_
_atom_site_label
_atom_site_fract_x
_atom_site_fract_y
_atom_site_fract_z
_atom_site_occupancy
Sm1 0.000 0.000 0.000 1
Ho1 0.250 0.250 0.750 1
V1 0.121 0.121 0.379 1
# * energy relative to the elements: 0.379 eV per atom
# * calculated volume: 443.5 Å³/cell
# * raw total energy: -7.2498 eV per atom



# PBE MnTe2P, optimized geometry
data_MnTe2P
_chemical_formula_sum 'Mn3 Te6 P3'
_cell_length_a 3.8186
_cell_length_b 3.8186
_cell_length_c 25.3556
_cell_angle_alpha 90.00
_cell_angle_beta 90.00
_cell_angle_gamma 120.00
_space_group_name_H-M_alt 'R -3 m'
_space_group_IT_number 166
_space_group_name_Hall '-R 3 2"'
loop_
_atom_site_label
_atom_site_fract_x
_atom_site_fract_y
_atom_site_fract_z
_atom_site_occupancy
Mn1 0.0000 0.0000 0.0000 1
Te1 0.0000 0.0000 0.3956 1
P1 0.0000 0.0000 0.5000 1
# * calculated volume: 320.2 Å³/cell
# * raw total energy: -4.8650 eV per atom



Repeat the first record exactly.
# PBE Si2RuPb, optimized geometry
data_Si2RuPb
_chemical_formula_sum 'Si4 Ru2 Pb2'
_cell_length_a 8.475
_cell_length_b 3.070
_cell_length_c 6.480
_cell_angle_alpha 90.00
_cell_angle_beta 108.12
_cell_angle_gamma 90.00
_space_group_name_H-M_alt 'C 1 m 1'
_space_group_IT_number 8
_space_group_name_Hall 'C -2y'
loop_
_atom_site_label
_atom_site_fract_x
_atom_site_fract_y
_atom_site_fract_z
_atom_site_occupancy
Si1 0.000 0.000 0.000 1
Si2 0.186 0.000 0.700 1
Ru1 0.214 0.500 0.990 1
Pb1 0.373 0.000 0.402 1
# * calculated volume: 160.2 Å³/cell
# * raw total energy: -5.9235 eV per atom



> What is the calculated volume in the second record?

456.0 Å³/cell



> The highest calculated volume belongs to which entry?

TbHoTlBi



> raw total energy of number 2 (TbHoTlBi)?

-4.2668 eV per atom